Compound: LuInSn2
Source: Alexandria
Functional: PBE
Structure: optimized geometry

Geometry as extended XYZ:
```
4
Lattice="2.4410 1.4093 7.9842 -2.4410 1.4093 7.9842 0.0000 -2.8187 7.9842" Properties=species:S:1:pos:R:3 pbc="T T T"
Lu 0.0000 0.0000 0.0000
In 0.0000 0.0000 11.9763
Sn 0.0000 0.0000 9.1396
Sn 0.0000 0.0000 14.8130
```

Its formation enthalpy at 0 K is 0.2744 eV per atom. For the raw total energy, the calculation gives -14.17 eV per formula unit. Its space-group type is R-3m, No. 166. Its density of states at the Fermi level is 3.75 states/eV per cell. Its energy above the most stable polymorph in this dataset is 0.611 eV per atom.